# 1
{
  "formula": "LiYHo4Se8",
  "functional": "PBE",
  "state": "relaxed",
  "lattice": [[4.165, 2.404, 6.819], [-4.165, 2.404, 6.819], [0.000, -4.809, 6.819]],
  "species": ["Li", "Y", "Ho", "Ho", "Ho", "Ho", "Se", "Se", "Se", "Se", "Se", "Se", "Se", "Se"],
  "fractional_positions": [[0.000, 0.000, 0.000], [0.370, 0.370, 0.370], [0.369, 0.369, 0.890], [0.369, 0.890, 0.369], [0.749, 0.749, 0.749], [0.890, 0.369, 0.369], [0.129, 0.129, 0.609], [0.129, 0.609, 0.129], [0.130, 0.130, 0.130], [0.150, 0.617, 0.617], [0.609, 0.129, 0.129], [0.616, 0.616, 0.616], [0.617, 0.150, 0.617], [0.617, 0.617, 0.150]],
  "space_group": "R3m",
  "e_form_raw_mev_per_atom": -1782,
  "rho_g_cm3": 5.62
}

***

# 2
{
  "formula": "LiY2Ho3Se6",
  "functional": "PBE",
  "state": "relaxed",
  "lattice": [[3.499, -6.075, 0.000], [3.499, 6.075, 0.000], [-2.353, 0.000, 6.609]],
  "species": ["Li", "Y", "Y", "Ho", "Ho", "Ho", "Se", "Se", "Se", "Se", "Se", "Se"],
  "fractional_positions": [[0.000, 0.000, 0.000], [0.335, 0.665, 0.000], [0.665, 0.335, 0.000], [0.168, 0.832, 0.500], [0.500, 0.500, 0.500], [0.832, 0.168, 0.500], [0.082, 0.405, 0.247], [0.240, 0.240, 0.755], [0.405, 0.082, 0.247], [0.595, 0.918, 0.753], [0.760, 0.760, 0.245], [0.918, 0.595, 0.753]],
  "space_group": "C2/m",
  "e_form_raw_mev_per_atom": -1745,
  "rho_g_cm3": 6.81
}

***

# 3
{
  "formula": "LiY3Ho4Se8",
  "functional": "PBE",
  "state": "relaxed",
  "lattice": [[4.057, 2.342, 6.619], [-4.057, 2.342, 6.619], [0.000, -4.684, 6.619]],
  "species": ["Li", "Y", "Y", "Y", "Ho", "Ho", "Ho", "Ho", "Se", "Se", "Se", "Se", "Se", "Se", "Se", "Se"],
  "fractional_positions": [[0.000, 0.000, 0.000], [0.000, 0.500, 0.500], [0.500, 0.000, 0.500], [0.500, 0.500, 0.000], [0.000, 0.000, 0.500], [0.000, 0.500, 0.000], [0.500, 0.000, 0.000], [0.500, 0.500, 0.500], [0.243, 0.755, 0.755], [0.245, 0.245, 0.757], [0.245, 0.757, 0.245], [0.249, 0.249, 0.249], [0.751, 0.751, 0.751], [0.755, 0.243, 0.755], [0.755, 0.755, 0.243], [0.757, 0.245, 0.245]],
  "space_group": "R-3m",
  "e_form_raw_mev_per_atom": -1739,
  "rho_g_cm3": 6.89
}

***

In Å³/cell, the V values for the records above are, in order, 409.69, 281.01, 377.36.